# 1
VASP calculation (PBE-GGA) on KTc after structural relaxation.

```
2
Lattice="2.8115 0.0000 0.0000 -1.4057 2.4348 0.0000 0.0000 0.0000 5.9831" Properties=species:S:1:pos:R:3 pbc="T T T"
K 0.0000 0.0000 0.0000
Tc 1.4057 0.8116 2.9915
```

mass density = 5.56 g cm⁻³
polymorph energy (0 for the lowest one) = 0.0 meV/atom
symmetry = P-6m2 (187)



# 2
VASP calculation (PBE-GGA) on Li7Pd2 after structural relaxation.

```
18
Lattice="5.0160 0.0000 0.0000 0.0000 9.3997 0.0000 0.0000 0.0000 5.4502" Properties=species:S:1:pos:R:3 pbc="T T T"
Li 0.0000 0.0000 0.0000
Li 0.8430 3.6941 1.6169
Li 0.8430 3.6941 3.8333
Li 0.9272 6.4610 0.0000
Li 1.5808 1.7612 0.0000
Li 1.6650 8.3939 1.6169
Li 1.6650 8.3939 3.8333
Li 2.5080 4.6998 0.0000
Li 3.3510 1.0057 1.6169
Li 3.3510 1.0057 3.8333
Li 3.4352 7.6385 0.0000
Li 4.0888 2.9386 0.0000
Li 4.1730 5.7056 1.6169
Li 4.1730 5.7056 3.8333
Pd 0.7501 1.2853 2.7251
Pd 1.7579 5.9851 2.7251
Pd 3.2581 3.4146 2.7251
Pd 4.2659 8.1144 2.7251
```

mass density = 3.38 g cm⁻³
total DFT energy (no corrections) = -49.79 eV/cell
symmetry = Pbam (55)